Record 1
VASP calculation (PBE) on a relaxed structure of ZnTc2Pb.

```
4
Lattice="3.0353 0.0000 0.0000 0.0000 3.8980 0.0000 0.0000 0.0000 6.0769" Properties=species:S:1:pos:R:3 pbc="T T T"
Zn 0.0000 0.0000 0.0000
Tc 1.5176 1.9490 1.1446
Tc 1.5176 1.9490 4.9323
Pb 0.0000 0.0000 3.0385
```

Properties
As for the density of states at the Fermi level: 0.717 states/eV/atom. The calculation puts the formation energy at 12.4 kcal/mol of atoms.


Record 2
VASP calculation (PBE) on a relaxed structure of Zn2TcPb.

```
4
Lattice="3.4934 0.0000 0.0000 0.0000 3.4934 0.0000 0.0000 0.0000 5.7759" Properties=species:S:1:pos:R:3 pbc="T T T"
Zn 0.0000 0.0000 0.0000
Zn 1.7467 1.7467 1.2829
Tc 1.7467 1.7467 4.4730
Pb 0.0000 0.0000 2.9872
```

Properties
As for the density of states at the Fermi level: 0.760 states/eV/atom. The calculation puts the formation energy at 7.0 kcal/mol of atoms.


Record 3
VASP calculation (PBE) on a relaxed structure of Zn2TcPb.

```
4
Lattice="1.5627 0.9022 8.7696 -1.5627 0.9022 8.7696 0.0000 -1.8044 8.7696" Properties=species:S:1:pos:R:3 pbc="T T T"
Zn 0.0000 0.0000 0.0000
Zn 0.0000 0.0000 6.7648
Tc 0.0000 0.0000 19.4807
Pb 0.0000 0.0000 12.9668
```

Properties
As for the density of states at the Fermi level: 0.574 states/eV/atom. The calculation puts the formation energy at 10.3 kcal/mol of atoms.


Record 4
VASP calculation (PBE) on a relaxed structure of Zn2TcPb.

```
4
Lattice="3.0161 0.0000 0.0000 0.0000 3.0161 0.0000 0.0000 0.0000 8.4086" Properties=species:S:1:pos:R:3 pbc="T T T"
Zn 0.0000 0.0000 0.0000
Zn 1.5080 1.5080 1.6777
Tc 1.5080 1.5080 6.7604
Pb 0.0000 0.0000 4.5959
```

Properties
As for the density of states at the Fermi level: 0.737 states/eV/atom. The calculation puts the formation energy at 10.1 kcal/mol of atoms.


Record 5
VASP calculation (PBE) on a relaxed structure of ZnTcPb4.

```
6
Lattice="0.0000 4.4775 4.4775 4.4775 0.0000 4.4775 4.4775 4.4775 0.0000" Properties=species:S:1:pos:R:3 pbc="T T T"
Zn 0.0000 0.0000 0.0000
Tc 2.2388 2.2388 2.2388
Pb 5.5931 3.3619 3.3619
Pb 3.3619 5.5931 3.3619
Pb 3.3619 3.3619 5.5931
Pb 5.5931 5.5931 5.5931
```

Properties
As for the density of states at the Fermi level: 0.887 states/eV/atom. The calculation puts the formation energy at 21.1 kcal/mol of atoms.


Record 6
VASP calculation (PBE) on a relaxed structure of ZnTc2Pb.

```
4
Lattice="4.8946 -1.5393 0.0000 4.8946 1.5393 0.0000 -1.3932 0.0000 4.5368" Properties=species:S:1:pos:R:3 pbc="T T T"
Zn 0.0000 0.0000 0.0000
Tc 1.3227 0.0000 3.7080
Tc 4.4595 0.0000 2.4643
Pb 7.1224 0.0000 1.4842
```

Properties
As for the density of states at the Fermi level: 0.812 states/eV/atom. The calculation puts the formation energy at 11.7 kcal/mol of atoms.